[1]
VASP calculation (PBE) on a relaxed Tm2Tc2C3 crystal.

Computed properties:
D(E_F) (states/eV/f.u.): 3.10
Magnetic moment (μB per formula unit): 0.000
Formation energy from the elements (eV/atom): -0.39

abc: 3.2874 5.6255 5.9805
angles: 112.12 105.95 90.00
Last column: nearest neighbours and their distance in Å.
Fractional positions:
Tm1 0.3899 0.1757 0.7797  5 C 2.40-2.50
Tm2 0.6101 0.8243 0.2203  5 C 2.40-2.50
Tc1 0.1569 0.3228 0.3139  4 C 2.00-2.12
Tc2 0.8431 0.6772 0.6861  4 C 2.00-2.12
C1 0.0000 0.0000 0.0000  2 Tc 2.00
C2 0.2454 0.7323 0.4909  3 Tc 2.08-2.12
C3 0.7546 0.2677 0.5091  3 Tc 2.08-2.12

***

[2]
VASP calculation (PBE) on a relaxed SrVSn2 crystal.

Computed properties:
D(E_F) (states/eV/f.u.): 2.90
Magnetic moment (μB per formula unit): 2.283
Formation energy from the elements (eV/atom): 0.15

abc: 5.4980 5.4980 9.8104
angles: 73.73 73.73 90.00
Last column: nearest neighbours and their distance in Å.
Fractional positions:
Sr1 0.0000 0.0000 0.0000  4 Sn 3.43
Sr2 0.7500 0.2500 0.5000  4 Sn 3.43
Sn1 0.4777 0.1250 0.2500  2 V 2.70, 2 Sn 2.97
Sn2 0.2723 0.6250 0.2500  2 V 2.70, 2 Sn 2.97
Sn3 0.3750 0.5223 0.7500  2 V 2.70, 2 Sn 2.97
Sn4 0.8750 0.7277 0.7500  2 V 2.70, 2 Sn 2.97
V1 0.5000 0.5000 0.0000  4 Sn 2.70
V2 0.2500 0.7500 0.5000  4 Sn 2.70

***

[3]
VASP calculation (PBE) on a relaxed Zn4PbAu5 crystal.

Computed properties:
D(E_F) (states/eV/f.u.): 3.17
Magnetic moment (μB per formula unit): 0.000
Formation energy from the elements (eV/atom): -0.16

abc: 3.2589 3.2589 16.8334
angles: 90.00 90.00 90.00
Last column: nearest neighbours and their distance in Å.
Fractional positions:
Zn1 0.0000 0.0000 0.2241  8 Au 2.72-2.79
Zn2 0.0000 0.0000 0.4084  8 Au 2.76-2.77, 1 Zn 3.08
Zn3 0.0000 0.0000 0.5916  8 Au 2.76-2.77, 1 Zn 3.08
Zn4 0.0000 0.0000 0.7759  8 Au 2.72-2.79
Pb1 0.0000 0.0000 0.0000  4 Pb 3.26, 8 Au 3.27
Au1 0.5000 0.5000 0.1381  4 Zn 2.72, 1 Au 3.03
Au2 0.5000 0.5000 0.3179  8 Zn 2.76-2.79, 2 Au 3.03-3.07
Au3 0.5000 0.5000 0.5000  8 Zn 2.77, 2 Au 3.07
Au4 0.5000 0.5000 0.6821  8 Zn 2.76-2.79, 2 Au 3.03-3.07
Au5 0.5000 0.5000 0.8619  4 Zn 2.72, 1 Au 3.03

***

[4]
VASP calculation (PBE) on a relaxed Pm5CuIr2 crystal.

Computed properties:
D(E_F) (states/eV/f.u.): 8.36
Magnetic moment (μB per formula unit): 0.000
Formation energy from the elements (eV/atom): -0.46

abc: 7.9126 7.9126 8.7409
angles: 116.91 116.91 90.00
Last column: nearest neighbours and their distance in Å.
Fractional positions:
Pm1 0.5259 0.6998 0.7256  3 Ir 2.90-3.01
Pm2 0.8002 0.9741 0.2744  3 Ir 2.90-3.01
Pm3 0.0000 0.0000 0.0000  4 Ir 3.07, 2 Cu 3.36
Pm4 0.5000 0.5000 0.0000  4 Ir 3.07, 2 Cu 3.36
Pm5 0.1998 0.0259 0.7256  3 Ir 2.90-3.01
Pm6 0.6998 0.1998 0.7256  3 Ir 2.90-3.01
Pm7 0.0259 0.5259 0.7256  3 Ir 2.90-3.01
Pm8 0.3002 0.8002 0.2744  3 Ir 2.90-3.01
Pm9 0.9741 0.4741 0.2744  3 Ir 2.90-3.01
Pm10 0.4741 0.3002 0.2744  3 Ir 2.90-3.01
Cu1 0.7500 0.7500 0.5000  10 Pm 3.33-3.36
Cu2 0.2500 0.2500 0.5000  10 Pm 3.33-3.36
Ir1 0.1364 0.3636 0.0000  8 Pm 2.90-3.07, 1 Ir 3.05
Ir2 0.6364 0.1364 0.0000  8 Pm 2.90-3.07, 1 Ir 3.05
Ir3 0.3636 0.8636 0.0000  8 Pm 2.90-3.07, 1 Ir 3.05
Ir4 0.8636 0.6364 0.0000  8 Pm 2.90-3.07, 1 Ir 3.05

***

[5]
VASP calculation (PBE) on a relaxed In2PbF crystal.

Computed properties:
D(E_F) (states/eV/f.u.): 0.93
Magnetic moment (μB per formula unit): 0.000
E_form (uncorrected) (kJ/mol of formula units): -232
ΔE to the lowest computed polymorph (meV/atom): 74

abc: 5.4914 5.4914 8.5708
angles: 71.32 71.32 90.00
Last column: nearest neighbours and their distance in Å.
Fractional positions:
Pb1 0.0000 0.0000 0.0000  4 In 3.10
Pb2 0.7500 0.2500 0.5000  4 In 3.10
F1 0.5000 0.5000 0.0000  4 In 2.46
F2 0.2500 0.7500 0.5000  4 In 2.46
In1 0.5076 0.1250 0.2500  2 F 2.46
In2 0.2424 0.6250 0.2500  2 F 2.46
In3 0.3750 0.4924 0.7500  2 F 2.46
In4 0.8750 0.7576 0.7500  2 F 2.46

***

[6]
VASP calculation (PBE) on a relaxed ErLuGe2 crystal.

Computed properties:
D(E_F) (states/eV/f.u.): 3.25
Magnetic moment (μB per formula unit): 0.000
Formation energy from the elements (eV/atom): -0.62

abc: 3.8144 3.8144 7.8848
angles: 76.00 76.00 60.00
Last column: nearest neighbours and their distance in Å.
Fractional positions:
Ge1 0.7509 0.7509 0.7474  3 Lu 2.89, 3 Er 2.92
Ge2 0.2491 0.2491 0.2526  3 Lu 2.89, 3 Er 2.92
Lu1 0.5000 0.5000 0.5000  6 Ge 2.89
Er1 0.0000 0.0000 0.0000  6 Ge 2.92

***

Which formula does entry 3 have? Zn4PbAu5

***

Which formula does entry 3 have? Zn4PbAu5